A geometry-optimized LaThB2O8 structure, computed with PBE.

Geometry as CIF:
```
data_LaThB2O8
_symmetry_space_group_name_H-M 'I -4'
_symmetry_Int_Tables_number 82
_symmetry_space_group_name_Hall 'I -4'
_cell_length_a 4.778
_cell_length_b 4.778
_cell_length_c 11.896
_cell_angle_alpha 90.00
_cell_angle_beta 90.00
_cell_angle_gamma 90.00
loop_
_atom_site_label
_atom_site_type_symbol
_atom_site_fract_x
_atom_site_fract_y
_atom_site_fract_z
La1 La 0.000 0.000 0.000
Th1 Th 0.000 0.500 0.750
B1 B 0.000 0.000 0.500
B2 B 0.000 0.500 0.250
O1 O 0.081 0.241 0.571
O2 O 0.096 0.745 0.185
```

Results
The value obtained for the total magnetization is 0.25 μB/atom. The calculation puts the theoretical density at 6.37 g/cm3. The calculation puts the uncorrected formation energy at -2.467 eV/atom.